[1]
VASP calculation (PBE-GGA) on crystalline MnTl5 at its relaxed geometry.

Properties
The energy of formation is 0.236 eV/atom. The energy above the lowest structure with this stoichiometry is 0.000 eV per atom.

Cell: 6.221 6.221 8.443 Å, 76.20 76.20 31.90°
Each line ends with the local moment (μB).
Sites, in units of the cell vectors:
Tl: 0.722 0.722 0.626  -0.01
Tl: 0.317 0.317 0.273  -0.02
Tl: 0.433 0.433 0.783  -0.01
Mn: 0.980 0.980 0.049  3.88
Tl: 0.031 0.031 0.409  -0.01
Tl: 0.684 0.684 0.027  -0.01

***

[2]
VASP calculation (PBE-GGA) on crystalline GeBiP at its relaxed geometry.

Properties
The energy of formation is 0.332 eV/atom. The energy above the lowest structure with this stoichiometry is 0.166 eV per atom.

Cell: 4.839 3.247 10.134 Å, 99.22 103.81 90.00°
Sites, in units of the cell vectors:
P: 0.286 0.500 0.000
Ge: 0.104 0.604 0.209
Bi: 0.295 0.795 0.590
Bi: 0.705 0.205 0.410
Ge: 0.896 0.396 0.791
P: 0.714 0.500 0.000

***

[3]
VASP calculation (PBE-GGA) on crystalline Li3FeCl at its relaxed geometry.

Properties
The uncorrected formation energy comes out at 0.35 eV per atom. The energy above the lowest structure with this stoichiometry is 0.373 eV per atom.

Cell: 4.932 4.932 4.932 Å, 90.00 90.00 90.00°
Each line ends with the local moment (μB).
Sites, in units of the cell vectors:
Li: 0.500 0.000 0.000  -0.02
Li: 0.000 0.000 0.500  -0.01
Cl: 0.500 0.500 0.500  0.01
Fe: 0.000 0.000 0.000  2.50
Li: 0.000 0.500 0.000  -0.01

***

[4]
VASP calculation (PBE-GGA) on crystalline ZnP2Ru at its relaxed geometry.

Properties
The energy of formation is -0.052 eV/atom.

Cell: 7.286 7.286 7.286 Å, 24.68 24.68 24.68°
Sites, in units of the cell vectors:
Ru: 0.250 0.250 0.250
Zn: 0.750 0.750 0.750
P: 0.505 0.505 0.505
P: 0.995 0.995 0.995

***

[5]
VASP calculation (PBE-GGA) on crystalline Ta3TcBr at its relaxed geometry.

Properties
The uncorrected formation energy comes out at 1.34 eV per atom. The energy above the lowest structure with this stoichiometry is 0.000 eV per atom.

Cell: 4.878 4.878 4.878 Å, 90.00 90.00 90.00°
Sites, in units of the cell vectors:
Br: 0.500 0.500 0.500
Tc: 0.000 0.000 0.000
Ta: 0.500 0.000 0.000
Ta: 0.000 0.000 0.500
Ta: 0.000 0.500 0.000

***

| no. | energy (eV per atom) | volume (Å³ per cell) | N(E_F) (states/eV per cell) |
| --- | --- | --- | --- |
| 1 | -3.26 | 167.29 | 3.10 |
| 2 | -4.30 | 152.51 | 1.87 |
| 3 | -2.86 | 119.98 | 1.91 |
| 4 | -5.39 | 59.30 | 2.22 |
| 5 | -8.18 | 116.10 | 6.64 |